Record 1
NaPCl2 after structural relaxation. Source: the Alexandria database, functional PBE-GGA.

Output
formation energy without anion corrections: 67 meV per atom
total energy: -2.54 eV/atom
crystal system: trigonal

Cell: 9.4592 9.4592 9.4592 Å, 20.71 20.71 20.71°
Closest atoms and distances in Å follow each position.
Sites, in units of the cell vectors:
P (0.5000, 0.5000, 0.5000)  6 Cl 2.90
Cl (0.0896, 0.0896, 0.0896)  1 Na 2.49
Cl (0.9104, 0.9104, 0.9104)  1 Na 2.49
Na (0.0000, 0.0000, 0.0000)  2 Cl 2.49

Record 2
LaTb4Pm2 after structural relaxation. Source: the Alexandria database, functional PBE-GGA.

Output
formation energy from the elements: 240.5 meV/atom
total energy: -4.47 eV/atom
crystal system: tetragonal

Cell: 4.5992 4.5992 11.9111 Å, 101.13 101.13 90.00°
Closest atoms and distances in Å follow each position.
Sites, in units of the cell vectors:
Tb (0.8595, 0.8595, 0.7189)  1 La 3.22, 4 Pm 3.37, 4 Tb 3.40
Tb (0.7500, 0.2500, 0.5000)  8 Tb 3.25-3.40
Tb (0.2500, 0.7500, 0.5000)  8 Tb 3.25-3.40
Tb (0.1405, 0.1405, 0.2811)  1 La 3.22, 4 Pm 3.37, 4 Tb 3.40
La (0.0000, 0.0000, 0.0000)  2 Tb 3.22
Pm (0.3982, 0.3982, 0.7964)  4 Tb 3.37
Pm (0.6018, 0.6018, 0.2036)  4 Tb 3.37

Record 3
CsBP2O after structural relaxation. Source: the Alexandria database, functional PBE-GGA.

Output
formation energy without anion corrections: 2416 meV per atom
total energy: -2.25 eV/atom
crystal system: tetragonal

Cell: 5.6473 5.6473 4.4065 Å, 90.00 90.00 90.00°
Closest atoms and distances in Å follow each position.
Sites, in units of the cell vectors:
O (0.0000, 0.0000, 0.5000)  2 Cs 2.20
Cs (0.0000, 0.0000, 0.0000)  2 O 2.20
B (0.5000, 0.5000, 0.5000)  8 P 3.58, 4 O 3.99
P (0.5000, 0.0000, 0.0000)  2 Cs 2.82
P (0.0000, 0.5000, 0.0000)  2 Cs 2.82

Record 4
SmCu2Pd2 after structural relaxation. Source: the Alexandria database, functional PBE-GGA.

Output
formation energy from the elements: -405.6 meV/atom
total energy: -5.06 eV/atom
crystal system: tetragonal

Cell: 4.0285 4.0285 11.4324 Å, 100.15 100.15 90.00°
Closest atoms and distances in Å follow each position.
Sites, in units of the cell vectors:
Pd (0.7500, 0.2500, 0.5000)  4 Cu 2.54, 4 Pd 2.85
Pd (0.0696, 0.0696, 0.1392)  5 Cu 2.44-2.54
Pd (0.9304, 0.9304, 0.8608)  5 Cu 2.44-2.54
Pd (0.2500, 0.7500, 0.5000)  4 Cu 2.54, 4 Pd 2.85
Sm (0.6275, 0.6275, 0.2550)  4 Cu 3.07, 8 Pd 3.12-3.38
Sm (0.3725, 0.3725, 0.7450)  4 Cu 3.07, 8 Pd 3.12-3.38
Cu (0.1798, 0.1798, 0.3596)  5 Pd 2.44-2.54
Cu (0.8202, 0.8202, 0.6404)  5 Pd 2.44-2.54
Cu (0.5000, 0.0000, 0.0000)  4 Pd 2.54
Cu (0.0000, 0.5000, 0.0000)  4 Pd 2.54